Pr3Sm2Ho8 | PBE-GGA | relaxed

Unit cell a=6.207 b=6.214 c=11.316 alpha=89.90 beta=79.41 gamma=80.41
Space group P-1 (No. 2)
Inequivalent atoms, fractional coordinates:
Pr (0.000, 0.000, 0.000)
Pr (0.231, 0.462, 0.079)
Sm (0.384, 0.769, 0.462)
Ho (0.076, 0.152, 0.690)
Ho (0.154, 0.308, 0.386)
Ho (0.308, 0.613, 0.766)
Ho (0.463, 0.925, 0.157)

**Magnetization**: 0.0 μB/f.u.
**Energy of formation from the pure elements**: 0.02 eV per atom
**Calculated volume**: 423 Å³/cell
**Total DFT energy (no corrections)**: -60.1 eV/cell